Entry 1:
An optimized crystal structure of CePaIn2. Source: Alexandria via LeMat-Bulk, functional PBE-GGA.

a b c (Å): 11.4461 11.4461 11.4461
angles (deg): 16.23 16.23 16.23
Closest atoms and distances in Å follow each position.
Fractional positions:
1 Ce 0.0000 0.0000 0.0000  6 Ce 3.23, 6 In 3.40
2 Pa 0.5000 0.5000 0.5000  6 Pa 3.23, 6 In 3.36
3 In 0.2493 0.2493 0.2493  6 In 3.23, 3 Pa 3.36, 3 Ce 3.40
4 In 0.7507 0.7507 0.7507  6 In 3.23, 3 Pa 3.36, 3 Ce 3.40

Computed properties:
* crystal system: trigonal
* density: 9.77 g cm⁻³
* DOS(E_F): 7.5 states/eV/f.u.
* total magnetic moment: 0.00 Bohr magnetons per cell
* symmetry: R-3m
* final energy: -21.5 eV per cell



Entry 2:
An optimized crystal structure of CePmPaIn. Source: Alexandria via LeMat-Bulk, functional PBE-GGA.

a b c (Å): 5.3921 5.3921 5.3921
angles (deg): 60.00 60.00 60.00
Closest atoms and distances in Å follow each position.
Fractional positions:
1 Ce 0.0000 0.0000 0.0000  4 In 3.30, 4 Pa 3.30
2 Pm 0.5000 0.5000 0.5000  4 In 3.30, 4 Pa 3.30
3 Pa 0.7500 0.7500 0.7500  4 Ce 3.30, 4 Pm 3.30
4 In 0.2500 0.2500 0.2500  4 Ce 3.30, 4 Pm 3.30

Computed properties:
* crystal system: cubic
* density: 9.45 g cm⁻³
* DOS(E_F): 9.7 states/eV/f.u.
* total magnetic moment: 2.01 Bohr magnetons per cell
* symmetry: F-43m
* final energy: -22.5 eV per cell



Entry 3:
An optimized crystal structure of CePrPaIn. Source: Alexandria via LeMat-Bulk, functional PBE-GGA.

a b c (Å): 5.4246 5.4246 5.4246
angles (deg): 60.00 60.00 60.00
Closest atoms and distances in Å follow each position.
Fractional positions:
1 Ce 0.0000 0.0000 0.0000  4 Pa 3.32, 4 In 3.32
2 Pr 0.5000 0.5000 0.5000  4 In 3.32, 4 Pa 3.32
3 Pa 0.7500 0.7500 0.7500  4 Pr 3.32, 4 Ce 3.32
4 In 0.2500 0.2500 0.2500  4 Pr 3.32, 4 Ce 3.32

Computed properties:
* crystal system: cubic
* density: 9.22 g cm⁻³
* DOS(E_F): 10.1 states/eV/f.u.
* total magnetic moment: 2.01 Bohr magnetons per cell
* symmetry: F-43m
* final energy: -22.5 eV per cell